(1)
The following is a PBE-GGA calculation of Cu2TeO2 after structural relaxation, from Alexandria via LeMat-Bulk.

Values from the calculation:
The value obtained for the magnetization is 0.000 μB/cell. The formation energy without anion corrections comes out at -0.256 eV per atom. The space group is I4_1md (109).

Lattice parameters (Å, degrees): 5.320 5.320 6.259 115.15 115.15 90.00
Fractional positions:
Cu (0.692, 0.915, 0.383)
Cu (0.718, 0.442, 0.883)
Cu (0.165, 0.442, 0.883)
Cu (0.692, 0.468, 0.383)
Te (0.006, 0.006, 0.012)
Te (0.256, 0.756, 0.512)
O (0.396, 0.642, 0.791)
O (0.400, 0.146, 0.291)
O (0.892, 0.146, 0.291)
O (0.396, 0.150, 0.791)

(2)
The following is a PBE-GGA calculation of YCrPb after structural relaxation, from Alexandria via LeMat-Bulk.

Values from the calculation:
The value obtained for the magnetization is 4.919 μB/cell. The formation energy from the elements comes out at 0.1183 eV/atom. The space group is F-43m (216).

Lattice parameters (Å, degrees): 4.831 4.831 4.831 60.00 60.00 60.00
Last column: magnetic moment on the atom in μB.
Fractional positions:
Cr (0.750, 0.750, 0.750)  3.78
Pb (0.000, 0.000, 0.000)  -0.06
Y (0.500, 0.500, 0.500)  0.41

(3)
The following is a PBE-GGA calculation of Tl2Hg3H2 after structural relaxation, from Alexandria via LeMat-Bulk.

Values from the calculation:
The value obtained for the magnetization is 0.000 μB/cell. The value obtained for the total energy is -11.18 eV per cell. The space group is P-1 (2).

Lattice parameters (Å, degrees): 3.532 13.439 9.887 28.00 122.93 131.67
Fractional positions:
Tl (0.911, 0.458, 0.848)
Tl (0.089, 0.542, 0.152)
Hg (0.000, 0.000, 0.000)
Hg (0.034, 0.044, 0.612)
Hg (0.966, 0.956, 0.388)
H (0.303, 0.303, 0.690)
H (0.697, 0.697, 0.310)

(4)
The following is a PBE-GGA calculation of KCd2As after structural relaxation, from Alexandria via LeMat-Bulk.

Values from the calculation:
The value obtained for the magnetization is 0.000 μB/cell. The formation energy from the elements comes out at 0.0489 eV/atom. The space group is C2/m (12).

Lattice parameters (Å, degrees): 6.805 6.805 2.971 77.11 77.11 122.94
Fractional positions:
As (0.000, 0.500, 0.500)
Cd (0.000, 0.000, 0.000)
Cd (0.500, 0.500, 0.000)
K (0.500, 0.000, 0.500)

(5)
The following is a PBE-GGA calculation of LaMn after structural relaxation, from Alexandria via LeMat-Bulk.

Values from the calculation:
The value obtained for the magnetization is 16.421 μB/cell. The formation energy from the elements comes out at 0.3089 eV/atom. The space group is Imm2 (44).

Lattice parameters (Å, degrees): 12.206 3.967 6.192 90.00 90.00 90.00
Last column: magnetic moment on the atom in μB.
Fractional positions:
La (0.788, 0.000, 0.191)  0.14
La (0.212, 0.000, 0.191)  0.14
La (0.288, 0.500, 0.691)  0.14
La (0.712, 0.500, 0.691)  0.14
La (0.000, 0.500, 0.928)  0.23
La (0.500, 0.000, 0.428)  0.23
Mn (0.898, 0.000, 0.631)  -2.75
Mn (0.102, 0.000, 0.631)  -2.75
Mn (0.398, 0.500, 0.131)  -2.75
Mn (0.602, 0.500, 0.131)  -2.75
Mn (0.000, 0.500, 0.430)  -3.32
Mn (0.500, 0.000, 0.930)  -3.32

(6)
The following is a PBE-GGA calculation of La4NiHg after structural relaxation, from Alexandria via LeMat-Bulk.

Values from the calculation:
The value obtained for the magnetization is 0.000 μB/cell. The formation energy from the elements comes out at -0.1853 eV/atom. The space group is P2_1/c (14).

Lattice parameters (Å, degrees): 7.391 7.616 7.203 90.00 97.42 90.00
Fractional positions:
La (0.894, 0.647, 0.183)
La (0.606, 0.147, 0.817)
La (0.298, 0.324, 0.340)
La (0.202, 0.824, 0.660)
La (0.106, 0.353, 0.817)
La (0.394, 0.853, 0.183)
La (0.702, 0.676, 0.660)
La (0.798, 0.176, 0.340)
Ni (0.500, 0.000, 0.500)
Ni (0.000, 0.500, 0.500)
Hg (0.000, 0.000, 0.000)
Hg (0.500, 0.500, 0.000)

(7)
The following is a PBE-GGA calculation of Cs2AlSb after structural relaxation, from Alexandria via LeMat-Bulk.

Values from the calculation:
The value obtained for the magnetization is 0.000 μB/cell. The formation energy without anion corrections comes out at 0.224 eV per atom. The space group is Fm-3m (225).

Lattice parameters (Å, degrees): 6.311 6.311 6.311 60.00 60.00 60.00
Fractional positions:
Cs (0.250, 0.250, 0.250)
Cs (0.750, 0.750, 0.750)
Sb (0.500, 0.500, 0.500)
Al (0.000, 0.000, 0.000)

(8)
The following is a PBE-GGA calculation of Y3InSe6 after structural relaxation, from Alexandria via LeMat-Bulk.

Values from the calculation:
The value obtained for the magnetization is 0.000 μB/cell. The formation energy without anion corrections comes out at -1.528 eV per atom. The space group is Cmc2_1 (36).

Lattice parameters (Å, degrees): 6.907 9.006 9.006 102.64 90.00 90.00
Fractional positions:
Y (0.484, 0.912, 0.717)
Y (0.984, 0.717, 0.912)
Y (0.387, 0.406, 0.594)
Y (0.887, 0.594, 0.406)
Y (0.984, 0.088, 0.283)
Y (0.484, 0.283, 0.088)
In (0.011, 0.203, 0.797)
In (0.511, 0.797, 0.203)
Se (0.183, 0.697, 0.629)
Se (0.683, 0.629, 0.697)
Se (0.218, 0.447, 0.901)
Se (0.718, 0.901, 0.447)
Se (0.180, 0.033, 0.967)
Se (0.638, 0.221, 0.779)
Se (0.138, 0.779, 0.221)
Se (0.680, 0.967, 0.033)
Se (0.218, 0.099, 0.553)
Se (0.718, 0.553, 0.099)
Se (0.183, 0.371, 0.303)
Se (0.683, 0.303, 0.371)

(9)
The following is a PBE-GGA calculation of CrAgBr2 after structural relaxation, from Alexandria via LeMat-Bulk.

Values from the calculation:
The value obtained for the magnetization is 4.968 μB/cell. The formation energy without anion corrections comes out at -0.062 eV per atom. The space group is Cmm2 (35).

Lattice parameters (Å, degrees): 3.800 3.800 7.136 90.00 90.00 90.18
Last column: magnetic moment on the atom in μB.
Fractional positions:
Ag (0.500, 0.500, 0.736)  0.07
Br (0.000, 0.000, 0.890)  0.04
Br (0.500, 0.500, 0.349)  0.08
Cr (0.000, 0.000, 0.524)  4.12

(10)
The following is a PBE-GGA calculation of LiZn3Ag2 after structural relaxation, from Alexandria via LeMat-Bulk.

Values from the calculation:
The value obtained for the magnetization is 0.000 μB/cell. The formation energy from the elements comes out at -0.1053 eV/atom. The space group is C2/c (15).

Lattice parameters (Å, degrees): 5.183 5.183 7.185 81.05 81.05 94.64
Fractional positions:
Li (0.912, 0.088, 0.250)
Li (0.088, 0.912, 0.750)
Zn (0.830, 0.662, 0.494)
Zn (0.338, 0.170, 0.006)
Zn (0.170, 0.338, 0.506)
Zn (0.662, 0.830, 0.994)
Zn (0.577, 0.423, 0.250)
Zn (0.423, 0.577, 0.750)
Ag (0.114, 0.638, 0.123)
Ag (0.362, 0.886, 0.377)
Ag (0.886, 0.362, 0.877)
Ag (0.638, 0.114, 0.623)

(11)
The following is a PBE-GGA calculation of HfZr2InC after structural relaxation, from Alexandria via LeMat-Bulk.

Values from the calculation:
The value obtained for the magnetization is 0.000 μB/cell. The formation energy from the elements comes out at -0.5105 eV/atom. The space group is P4/mmm (123).

Lattice parameters (Å, degrees): 4.595 4.595 4.502 90.00 90.00 90.00
Fractional positions:
C (0.000, 0.000, 0.000)
Hf (0.000, 0.000, 0.500)
Zr (0.000, 0.500, 0.000)
Zr (0.500, 0.000, 0.000)
In (0.500, 0.500, 0.500)

(12)
The following is a PBE-GGA calculation of Ba2TmMg12Hg3 after structural relaxation, from Alexandria via LeMat-Bulk.

Values from the calculation:
The value obtained for the magnetization is 0.000 μB/cell. The formation energy from the elements comes out at 0.1045 eV/atom. The space group is R-3m (166).

Lattice parameters (Å, degrees): 9.714 9.714 9.714 54.47 54.47 54.47
Fractional positions:
Ba (0.584, 0.584, 0.584)
Ba (0.416, 0.416, 0.416)
Tm (0.000, 0.000, 0.000)
Mg (0.218, 0.218, 0.872)
Mg (0.831, 0.831, 0.453)
Mg (0.453, 0.831, 0.831)
Mg (0.872, 0.218, 0.218)
Mg (0.831, 0.453, 0.831)
Mg (0.218, 0.872, 0.218)
Mg (0.782, 0.782, 0.128)
Mg (0.169, 0.169, 0.547)
Mg (0.547, 0.169, 0.169)
Mg (0.128, 0.782, 0.782)
Mg (0.169, 0.547, 0.169)
Mg (0.782, 0.128, 0.782)
Hg (0.500, 0.000, 0.000)
Hg (0.000, 0.500, 0.000)
Hg (0.000, 0.000, 0.500)

(13)
The following is a PBE-GGA calculation of Nd4Ho3ScSe8 after structural relaxation, from Alexandria via LeMat-Bulk.

Values from the calculation:
The value obtained for the magnetization is 0.000 μB/cell. The formation energy without anion corrections comes out at -1.760 eV per atom. The space group is R-3m (166).

Lattice parameters (Å, degrees): 8.142 8.361 8.143 119.14 120.00 90.00
Fractional positions:
Nd (0.500, 0.000, 0.000)
Nd (0.500, 0.000, 0.500)
Nd (0.000, 0.000, 0.000)
Nd (0.000, 0.000, 0.500)
Ho (0.500, 0.500, 0.000)
Ho (0.500, 0.500, 0.500)
Ho (0.000, 0.500, 0.500)
Sc (0.000, 0.500, 0.000)
Se (0.240, 0.729, 0.989)
Se (0.240, 0.729, 0.479)
Se (0.256, 0.267, 0.511)
Se (0.749, 0.729, 0.989)
Se (0.251, 0.271, 0.011)
Se (0.744, 0.733, 0.489)
Se (0.760, 0.271, 0.521)
Se (0.760, 0.271, 0.011)

(14)
The following is a PBE-GGA calculation of TbDyNp2Se4 after structural relaxation, from Alexandria via LeMat-Bulk.

Values from the calculation:
The value obtained for the magnetization is 0.017 μB/cell. The formation energy without anion corrections comes out at -1.411 eV per atom. The space group is P2/m (10).

Lattice parameters (Å, degrees): 4.094 7.139 7.045 109.58 90.00 90.00
Last column: magnetic moment on the atom in μB.
Fractional positions:
Tb (0.000, 0.000, 0.000)  -0.06
Dy (0.500, 0.500, 0.000)  0.06
Np (0.500, 0.000, 0.500)  -4.04
Np (0.000, 0.500, 0.500)  4.03
Se (0.500, 0.251, 0.248)  -0.02
Se (0.500, 0.749, 0.752)  -0.02
Se (0.000, 0.251, 0.753)  0.02
Se (0.000, 0.749, 0.247)  0.02

(15)
The following is a PBE-GGA calculation of Dy4PtSe2Br after structural relaxation, from Alexandria via LeMat-Bulk.

Values from the calculation:
The value obtained for the magnetization is 0.000 μB/cell. The formation energy without anion corrections comes out at -1.443 eV per atom. The space group is P2/m (10).

Lattice parameters (Å, degrees): 3.969 7.276 7.256 72.29 90.00 90.00
Fractional positions:
Dy (0.000, 0.760, 0.725)
Dy (0.000, 0.240, 0.275)
Dy (0.500, 0.733, 0.276)
Dy (0.500, 0.267, 0.724)
Pt (0.000, 0.500, 0.500)
Se (0.000, 0.000, 0.000)
Se (0.500, 0.000, 0.500)
Br (0.500, 0.500, 0.000)

(16)
The following is a PBE-GGA calculation of Tm2FeSn after structural relaxation, from Alexandria via LeMat-Bulk.

Values from the calculation:
The value obtained for the magnetization is 0.000 μB/cell. The formation energy from the elements comes out at -0.2858 eV/atom. The space group is P4/mmm (123).

Lattice parameters (Å, degrees): 3.318 3.318 7.889 90.00 90.00 90.00
Fractional positions:
Tm (0.000, 0.000, 0.798)
Tm (0.000, 0.000, 0.202)
Sn (0.500, 0.500, 0.500)
Fe (0.500, 0.500, 0.000)

(17)
The following is a PBE-GGA calculation of BaHf2In after structural relaxation, from Alexandria via LeMat-Bulk.

Values from the calculation:
The value obtained for the magnetization is 0.000 μB/cell. The formation energy from the elements comes out at 0.7177 eV/atom. The space group is I-42d (122).

Lattice parameters (Å, degrees): 4.906 4.906 11.345 77.51 77.51 90.00
Fractional positions:
Hf (0.508, 0.125, 0.250)
Hf (0.242, 0.625, 0.250)
Hf (0.375, 0.492, 0.750)
Hf (0.875, 0.758, 0.750)
Ba (0.000, 0.000, 0.000)
Ba (0.750, 0.250, 0.500)
In (0.500, 0.500, 0.000)
In (0.250, 0.750, 0.500)

(18)
The following is a PBE-GGA calculation of Y2PaPdN4 after structural relaxation, from Alexandria via LeMat-Bulk.

Values from the calculation:
The value obtained for the magnetization is 0.489 μB/cell. The formation energy without anion corrections comes out at -1.101 eV per atom. The space group is P2/m (10).

Lattice parameters (Å, degrees): 3.435 5.976 6.130 114.00 90.00 90.00
Last column: magnetic moment on the atom in μB.
Fractional positions:
Y (0.500, 0.000, 0.500)  0.00
Y (0.000, 0.500, 0.500)  0.03
Pa (0.500, 0.500, 0.000)  0.04
Pd (0.000, 0.000, 0.000)  0.25
N (0.500, 0.259, 0.233)  0.06
N (0.500, 0.741, 0.767)  0.06
N (0.000, 0.286, 0.738)  0.00
N (0.000, 0.714, 0.262)  0.00

(19)
The following is a PBE-GGA calculation of Mg3GaHg2 after structural relaxation, from Alexandria via LeMat-Bulk.

Values from the calculation:
The value obtained for the magnetization is 0.000 μB/cell. The formation energy from the elements comes out at -0.1831 eV/atom. The space group is Cmmm (65).

Lattice parameters (Å, degrees): 4.792 7.713 7.100 90.00 90.01 71.90
Fractional positions:
Mg (0.833, 0.334, 0.754)
Mg (0.500, 0.000, 0.244)
Mg (0.167, 0.666, 0.246)
Mg (0.833, 0.334, 0.246)
Mg (0.167, 0.666, 0.754)
Mg (0.500, 0.000, 0.756)
Ga (0.329, 0.342, 0.000)
Ga (0.671, 0.658, 0.000)
Hg (0.000, 0.000, 0.000)
Hg (0.000, 0.000, 0.500)
Hg (0.334, 0.333, 0.500)
Hg (0.666, 0.667, 0.500)

(20)
The following is a PBE-GGA calculation of CrSn3Cl after structural relaxation, from Alexandria via LeMat-Bulk.

Values from the calculation:
The value obtained for the magnetization is 0.321 μB/cell. The formation energy without anion corrections comes out at 1.195 eV per atom. The space group is Pm-3m (221).

Lattice parameters (Å, degrees): 5.253 5.253 5.253 90.00 90.00 90.00
Last column: magnetic moment on the atom in μB.
Fractional positions:
Cr (0.500, 0.500, 0.500)  0.26
Sn (0.000, 0.500, 0.000)  0.02
Sn (0.000, 0.000, 0.500)  -0.03
Sn (0.500, 0.000, 0.000)  -0.01
Cl (0.000, 0.000, 0.000)  0.01

(21)
The following is a PBE-GGA calculation of InCu2AgF8 after structural relaxation, from Alexandria via LeMat-Bulk.

Values from the calculation:
The value obtained for the magnetization is 2.030 μB/cell. The formation energy without anion corrections comes out at -1.685 eV per atom. The space group is I-4 (82).

Lattice parameters (Å, degrees): 5.448 5.448 6.568 114.50 114.50 90.00
Last column: magnetic moment on the atom in μB.
Fractional positions:
In (0.000, 0.000, 0.000)  0.00
Cu (0.500, 0.500, 0.000)  0.63
Cu (0.250, 0.750, 0.500)  0.67
Ag (0.750, 0.250, 0.500)  0.20
F (0.749, 0.835, 0.114)  0.06
F (0.366, 0.279, 0.114)  0.06
F (0.619, 0.684, 0.642)  0.07
F (0.022, 0.958, 0.642)  0.07
F (0.042, 0.381, 0.358)  0.07
F (0.316, 0.978, 0.358)  0.07
F (0.165, 0.634, 0.886)  0.06
F (0.721, 0.251, 0.886)  0.06

(22)
The following is a PBE-GGA calculation of AlSi2AgO after structural relaxation, from Alexandria via LeMat-Bulk.

Values from the calculation:
The value obtained for the magnetization is 0.000 μB/cell. The formation energy without anion corrections comes out at 0.232 eV per atom. The space group is P4/mmm (123).

Lattice parameters (Å, degrees): 4.073 4.763 4.073 90.00 90.00 90.00
Fractional positions:
O (0.000, 0.000, 0.000)
Si (0.000, 0.000, 0.500)
Si (0.500, 0.000, 0.000)
Al (0.500, 0.500, 0.500)
Ag (0.000, 0.500, 0.000)

(23)
The following is a PBE-GGA calculation of LiBe2Ag after structural relaxation, from Alexandria via LeMat-Bulk.

Values from the calculation:
The value obtained for the magnetization is 0.000 μB/cell. The formation energy from the elements comes out at 0.1624 eV/atom. The space group is I-4m2 (119).

Lattice parameters (Å, degrees): 4.503 4.503 4.503 133.66 133.66 67.61
Fractional positions:
Ag (0.750, 0.250, 0.500)
Be (0.000, 0.000, 0.000)
Be (0.250, 0.750, 0.500)
Li (0.500, 0.500, 0.000)